VASP calculation (GGA-PBE) on a relaxed structure of YSi2MoRh.

The uncorrected formation energy comes out at 2053 meV per atom. The value obtained for the polymorph energy (0 for the lowest one) is 1.657 eV/atom. For the total energy, the calculation gives -25.23 eV for the cell shown. The spin magnetization is 1.59 μB per formula unit.

The space group is P4/mmm (No. 123) and the conventional cell measures 5.0561, 5.0561 and 4.8458 Å, with angles of 90.00, 90.00 and 90.00 degrees. Symmetry generates all atoms from Y at (0.0000, 0.0000, 0.0000), Si at (0.0000, 0.5000, 0.0000), Mo at (0.0000, 0.0000, 0.5000) and Rh at (0.5000, 0.5000, 0.5000).